# 1
Entry from Alexandria: AcTh2Mo after structural relaxation (PBE).

Calculated formation energy, eV per atom: 0.494
Density of states at the Fermi level, states/eV/atom: 1.288

Cell: 11.5032 11.5032 11.5032 Å, 18.05 18.05 18.05°
Fractional positions:
Ac1 0.0000 0.0000 0.0000
Th1 0.1040 0.1040 0.1040
Th2 0.8960 0.8960 0.8960
Mo1 0.5000 0.5000 0.5000

# 2
Entry from Alexandria: Pm3Mg7Ag4 after structural relaxation (PBE).

Calculated formation energy, eV per atom: -0.201
Density of states at the Fermi level, states/eV/atom: 0.750

Cell: 8.6848 8.6848 10.5126 Å, 122.38 122.38 30.28°
Fractional positions:
Pm1 0.0000 0.0000 0.0000
Pm2 0.3073 0.3073 0.2981
Pm3 0.6927 0.6927 0.7019
Mg1 0.0000 0.0000 0.5000
Mg2 0.1629 0.1629 0.4301
Mg3 0.3213 0.3213 0.9831
Mg4 0.4894 0.4894 0.6975
Mg5 0.5106 0.5106 0.3025
Mg6 0.6787 0.6787 0.0169
Mg7 0.8371 0.8371 0.5699
Ag1 0.1150 0.1150 0.8287
Ag2 0.3395 0.3395 0.7355
Ag3 0.6605 0.6605 0.2645
Ag4 0.8850 0.8850 0.1713

# 3
Entry from Alexandria: SrTb6Sm8 after structural relaxation (PBE).

Calculated formation energy, eV per atom: 0.206
Density of states at the Fermi level, states/eV/atom: 1.363

Cell: 8.3012 8.3012 8.3012 Å, 72.36 72.36 72.36°
Fractional positions:
Sr1 0.0000 0.0000 0.0000
Tb1 0.1749 0.6171 0.4349
Tb2 0.3829 0.5651 0.8251
Tb3 0.4349 0.1749 0.6171
Tb4 0.5651 0.8251 0.3829
Tb5 0.6171 0.4349 0.1749
Tb6 0.8251 0.3829 0.5651
Sm1 0.0534 0.3841 0.8601
Sm2 0.1399 0.9466 0.6159
Sm3 0.2388 0.2388 0.2388
Sm4 0.3841 0.8601 0.0534
Sm5 0.6159 0.1399 0.9466
Sm6 0.7612 0.7612 0.7612
Sm7 0.8601 0.0534 0.3841
Sm8 0.9466 0.6159 0.1399

# 4
Entry from Alexandria: KEuH2 after structural relaxation (PBE).

Density of states at the Fermi level, states/eV/atom: 0.349
Energy relative to the lowest polymorph listed for this composition, eV/f.u.: 0.000

Cell: 6.9958 6.9958 6.9958 Å, 31.02 31.02 31.02°
Fractional positions:
K1 0.0000 0.0000 0.0000
Eu1 0.5000 0.5000 0.5000
H1 0.2344 0.2344 0.2344
H2 0.7656 0.7656 0.7656